# 1
This record from Alexandria describes TaMnSe after structural relaxation. The functional is PBE-GGA.

POSCAR file:
```
TaMnSe
1.0
-2.5179 -3.0298 3.1585
-2.5106 -4.3776 0.1763
2.0240 -2.3416 1.0632
Mn Se Ta
1 1 1
direct
0.9954 0.9956 0.0045
0.3361 0.3361 0.6639
0.6684 0.6684 0.3316
```

## Properties
* uncorrected energy: -24.352 eV for the cell shown
* total moment: 1.06 μB per atom
* energy relative to the lowest polymorph listed for this composition: 0.3112 eV per atom
* formation energy (no corrections): 0.16 eV per formula unit
* space group: No. 107
* DOS(E_F): 3.0 states/eV/f.u.

# 2
This record from Alexandria describes CeAs2PtRh2 after structural relaxation. The functional is PBE-GGA.

POSCAR file:
```
CeAs2PtRh2
1.0
-2.8283 -0.0748 -2.4863
2.6464 -5.2722 -2.8517
-4.5814 -5.2034 5.3683
Ce As Pt Rh
2 4 2 4
direct
0.0000 0.9676 0.4341
0.0000 0.4676 0.5659
0.0000 0.2506 0.8958
0.5000 0.2755 0.3095
0.0000 0.7506 0.1042
0.5000 0.7755 0.6905
0.5000 0.1649 0.6843
0.5000 0.6649 0.3157
0.5000 0.0088 0.1092
0.0000 0.3782 0.1507
0.5000 0.5088 0.8908
0.0000 0.8782 0.8493
```

## Properties
* uncorrected energy: -80.069 eV for the cell shown
* E_form: -15.60 kcal/mol of atoms
* total moment: 0.02 μB per atom
* space group: No. 26
* DOS(E_F): 5.5 states/eV/f.u.

# 3
This record from Alexandria describes Cd2Ru2O after structural relaxation. The functional is PBE-GGA.

POSCAR file:
```
Cd2Ru2O
1.0
3.6928 0.0000 0.0000
0.0000 3.6928 0.0000
1.8464 1.8464 6.7689
Ru O Cd
2 1 2
direct
0.4160 0.4160 0.1679
0.5840 0.5840 0.8321
0.0000 0.0000 0.0000
0.7500 0.2500 0.5000
0.2500 0.7500 0.5000
```

## Properties
* uncorrected energy: -19.537 eV for the cell shown
* total moment: 0.80 μB per atom
* energy relative to the lowest polymorph listed for this composition: 0.9988 eV per atom
* formation energy (no corrections): 5.80 eV per formula unit
* space group: No. 139
* DOS(E_F): 2.4 states/eV/f.u.

# 4
This record from Alexandria describes Pm4Ge5Mo after structural relaxation. The functional is PBE-GGA.

POSCAR file:
```
Pm4Ge5Mo
1.0
-2.4188 0.7070 5.3569
3.2360 -3.5892 5.2060
2.6602 5.4087 3.7585
Pm Ge Mo
4 5 1
direct
0.4126 0.3912 0.7870
0.8038 0.7870 0.6088
0.1996 0.2130 0.3912
0.5908 0.6088 0.2130
0.9077 0.3666 0.8223
0.2743 0.8223 0.6334
0.7300 0.1777 0.3666
0.0966 0.6334 0.1777
0.4627 0.0000 0.0000
0.0325 0.0000 0.0000
```

## Properties
* uncorrected energy: -57.667 eV for the cell shown
* E_form: -10.95 kcal/mol of atoms
* total moment: 0.00 μB per atom
* space group: No. 79
* DOS(E_F): 5.2 states/eV/f.u.